Here is a relaxed ZnBr4N2 crystal from Alexandria. Energies are from PBE.

Final energy (eV per atom): -2.86
Mass density (g cm⁻³): 3.72

Cell lengths 3.788, 7.672, 7.666 Å; angles 114.13, 110.69, 69.20 degrees
Sites, in units of the cell vectors:
Zn (0.000, 0.000, 0.000)
Br (0.739, 0.719, 0.279)
Br (0.261, 0.281, 0.721)
Br (0.499, 0.782, 0.782)
Br (0.501, 0.218, 0.218)
N (0.759, 0.186, 0.815)
N (0.241, 0.814, 0.185)